(1)
Sr2ZnRh: relaxed, GGA-PBEsol.

Output
For the total magnetization, the calculation gives 0.00 μB per atom. The calculation puts the energy of formation at -0.30 eV per atom. The space group is R3m (160).

a b c (Å): 4.3106 4.3106 8.0987
angles (deg): 74.57 74.57 60.00
With the nearest neighbours (Å) after each atom.
Element x y z (fractional)
Sr 0.7901 0.7901 0.6298  3 Rh 3.17, 3 Zn 3.17
Sr 0.9600 0.9600 0.1199  3 Zn 3.17, 3 Rh 3.17
Rh 0.2081 0.2081 0.3756  3 Zn 2.49
Zn 0.5418 0.5418 0.3747  3 Rh 2.49

=====

(2)
Ni4Rh: relaxed, GGA-PBEsol.

Output
For the total magnetization, the calculation gives 0.71 μB per atom. The calculation puts the energy of formation at 0.02 eV per atom. The space group is I4/m (87). The energy above the lowest structure with this stoichiometry comes out at 0 meV/atom.

a b c (Å): 3.5348 4.3410 4.3410
angles (deg): 80.46 65.97 65.97
With the nearest neighbours (Å) after each atom.
Element x y z (fractional)
Ni 0.1964 0.2050 0.4021  9 Ni 2.46-2.53, 3 Rh 2.51-2.52
Ni 0.4015 0.4021 0.7950  9 Ni 2.46-2.53, 3 Rh 2.51-2.52
Ni 0.8036 0.7950 0.5979  9 Ni 2.46-2.53, 3 Rh 2.51-2.52
Ni 0.5985 0.5979 0.2050  9 Ni 2.46-2.53, 3 Rh 2.51-2.52
Rh 0.0000 0.0000 0.0000  12 Ni 2.51-2.52